The following is a PBE calculation of an optimized crystal structure of InFeAs2Au, from Alexandria via LeMat-Bulk.

Magnetic moment: 0.72 μB per atom
E_tot: -3.478 eV per atom
DOS at the Fermi energy: 1.9496 states/eV per atom
Formation energy: 1.28 eV per atom
Crystal system: tetragonal

Lattice parameters (Å, degrees): 5.209 5.107 5.209 90.00 90.00 90.00
Positions (direct):
Au (0.000, 0.500, 0.000)
In (0.000, 0.000, 0.000)
As (0.500, 0.000, 0.000)
As (0.000, 0.000, 0.500)
Fe (0.500, 0.500, 0.500)

***

The following is a PBE calculation of an optimized crystal structure of WCl, from Alexandria via LeMat-Bulk.

ΔE to the lowest computed polymorph: 1360.4 meV per atom
Magnetic moment: 0.00 μB per atom
E_tot: -6.283 eV per atom
Raw formation energy: 1117 meV per atom
DOS at the Fermi energy: 0.5257 states/eV per atom
Crystal system: hexagonal

Lattice parameters (Å, degrees): 4.285 4.285 13.482 90.00 90.00 120.00
Positions (direct):
Cl (0.333, 0.667, 0.124)
Cl (0.667, 0.333, 0.876)
Cl (0.333, 0.667, 0.376)
Cl (0.667, 0.333, 0.624)
W (0.000, 0.000, 0.750)
W (0.667, 0.333, 0.250)
W (0.333, 0.667, 0.750)
W (0.000, 0.000, 0.250)

***

The following is a PBE calculation of an optimized crystal structure of Sc2TiTl, from Alexandria via LeMat-Bulk.

Magnetic moment: 0.64 μB per atom
E_tot: -5.825 eV per atom
DOS at the Fermi energy: 0.7722 states/eV per atom
Formation energy: -0.09 eV per atom
Crystal system: tetragonal

Lattice parameters (Å, degrees): 4.291 4.499 4.499 90.00 90.00 90.00
Positions (direct):
Ti (0.500, 0.500, 0.500)
Tl (0.500, 0.000, 0.000)
Sc (0.000, 0.500, 0.000)
Sc (0.000, 0.000, 0.500)

***

magnetic moment of number 3 (Sc2TiTl)?
0.64 μB per atom

***

What did the second record say?
The following is a PBE calculation of an optimized crystal structure of WCl, from Alexandria via LeMat-Bulk.

ΔE to the lowest computed polymorph: 1360.4 meV per atom
Magnetic moment: 0.00 μB per atom
E_tot: -6.283 eV per atom
Raw formation energy: 1117 meV per atom
DOS at the Fermi energy: 0.5257 states/eV per atom
Crystal system: hexagonal

Lattice parameters (Å, degrees): 4.285 4.285 13.482 90.00 90.00 120.00
Positions (direct):
Cl (0.333, 0.667, 0.124)
Cl (0.667, 0.333, 0.876)
Cl (0.333, 0.667, 0.376)
Cl (0.667, 0.333, 0.624)
W (0.000, 0.000, 0.750)
W (0.667, 0.333, 0.250)
W (0.333, 0.667, 0.750)
W (0.000, 0.000, 0.250)

***

Copy entry 1 word for word.
The following is a PBE calculation of an optimized crystal structure of InFeAs2Au, from Alexandria via LeMat-Bulk.

Magnetic moment: 0.72 μB per atom
E_tot: -3.478 eV per atom
DOS at the Fermi energy: 1.9496 states/eV per atom
Formation energy: 1.28 eV per atom
Crystal system: tetragonal

Lattice parameters (Å, degrees): 5.209 5.107 5.209 90.00 90.00 90.00
Positions (direct):
Au (0.000, 0.500, 0.000)
In (0.000, 0.000, 0.000)
As (0.500, 0.000, 0.000)
As (0.000, 0.000, 0.500)
Fe (0.500, 0.500, 0.500)